Record 1
Density functional theory data (meta-GGA SCAN) for a PBEsol-optimized structure of Zn2SbH.

Calculated values
Magnetization: 0.00 Bohr magnetons per cell
Calculated total energy: -268.02 eV/cell

Cell: 4.701 4.701 11.774 Å, 90.00 90.00 90.00°
Space group I-42d (No. 122)
Inequivalent atoms, fractional coordinates:
Zn 0.097 0.250 0.125 x8
Sb 0.000 0.000 0.500 x4
H 0.000 0.000 0.000 x4

***

Record 2
Density functional theory data (meta-GGA SCAN) for a PBEsol-optimized structure of ZrSb2H.

Calculated values
Magnetization: 3.34 Bohr magnetons per cell
Calculated total energy: -429.29 eV/cell

Cell: 6.873 6.873 6.873 Å, 90.00 90.00 90.00°
Space group Fm-3m (No. 225)
Inequivalent atoms, fractional coordinates:
Zr 0.000 0.000 0.000 x4
Sb 0.250 0.250 0.250 x8
H 0.000 0.000 0.500 x4

***

Record 3
Density functional theory data (meta-GGA SCAN) for a PBEsol-optimized structure of ScHSe2.

Calculated values
Magnetization: 0.00 Bohr magnetons per cell
Excess energy over the best structure of this formula in the dataset: 22 meV per atom

Cell: 3.9040 3.9040 19.1265 Å, 90.00 90.00 120.00°
Space group R-3m (No. 166, hexagonal axes)
Inequivalent atoms, fractional coordinates:
Sc 0.0000 0.0000 0.0000 x3
H 0.0000 0.0000 0.5000 x3
Se 0.0000 0.0000 0.4092 x6

***

Record 4
Density functional theory data (meta-GGA SCAN) for a PBEsol-optimized structure of ScHSe2.

Calculated values
Magnetization: 0.00 Bohr magnetons per cell
Excess energy over the best structure of this formula in the dataset: 0 meV per atom

Cell: 6.817 3.897 6.845 Å, 90.00 107.98 90.00°
Space group P2_1/m (No. 11)
Inequivalent atoms, fractional coordinates:
Sc 0.008 0.250 0.228 x2
H 0.445 0.250 0.733 x2
Se 0.206 0.250 0.644 x2
Se 0.236 0.750 0.152 x2

***

Record 5
Density functional theory data (meta-GGA SCAN) for a PBEsol-optimized structure of ScSi3H.

Calculated values
Magnetization: 0.00 Bohr magnetons per cell
Calculated total energy: -47.38 eV/cell

Cell: 3.995 3.995 3.995 Å, 90.00 90.00 90.00°
Space group Pm-3m (No. 221)
Inequivalent atoms, fractional coordinates:
Sc 0.000 0.000 0.000 x1
Si 0.000 0.500 0.500 x3
H 0.500 0.500 0.500 x1

***

Record 6
Density functional theory data (meta-GGA SCAN) for a PBEsol-optimized structure of Sc2Si2H.

Calculated values
Magnetization: 0.00 Bohr magnetons per cell
Calculated total energy: -108.32 eV/cell

Cell: 6.275 6.275 4.092 Å, 90.00 90.00 90.00°
Space group P4/mbm (No. 127)
Inequivalent atoms, fractional coordinates:
Sc 0.174 0.326 0.000 x4
Si 0.130 0.630 0.500 x4
H 0.000 0.000 0.000 x2

***

Record 7
Density functional theory data (meta-GGA SCAN) for a PBEsol-optimized structure of Sc2SnH.

Calculated values
Magnetization: 4.03 Bohr magnetons per cell
Calculated total energy: -274.85 eV/cell

Cell: 6.681 6.681 6.681 Å, 90.00 90.00 90.00°
Space group Fm-3m (No. 225)
Inequivalent atoms, fractional coordinates:
Sc 0.250 0.250 0.250 x8
Sn 0.000 0.000 0.000 x4
H 0.000 0.000 0.500 x4

***

Record 8
Density functional theory data (meta-GGA SCAN) for a PBEsol-optimized structure of ScSnH.

Calculated values
Magnetization: 0.00 Bohr magnetons per cell
Calculated total energy: -55.54 eV/cell

Cell: 3.3568 3.3568 4.7981 Å, 90.00 90.00 120.00°
Space group P-6m2 (No. 187)
Inequivalent atoms, fractional coordinates:
Sc 0.0000 0.0000 0.0000 x1
Sn 0.6667 0.3333 0.5000 x1
H 0.3333 0.6667 0.0000 x1

***

Record 9
Density functional theory data (meta-GGA SCAN) for a PBEsol-optimized structure of Sc2SnH2.

Calculated values
Magnetization: 0.00 Bohr magnetons per cell
Calculated total energy: -150.22 eV/cell

Cell: 3.686 3.686 9.843 Å, 90.00 90.00 90.00°
Space group I4/mmm (No. 139)
Inequivalent atoms, fractional coordinates:
Sc 0.000 0.000 0.158 x4
Sn 0.000 0.000 0.500 x2
H 0.000 0.500 0.250 x4

***

Record 10
Density functional theory data (meta-GGA SCAN) for a PBEsol-optimized structure of Sc3SnH.

Calculated values
Magnetization: 2.48 Bohr magnetons per cell
Calculated total energy: -84.95 eV/cell

Cell: 4.423 4.423 4.423 Å, 90.00 90.00 90.00°
Space group Pm-3m (No. 221)
Inequivalent atoms, fractional coordinates:
Sc 0.000 0.000 0.500 x3
Sn 0.500 0.500 0.500 x1
H 0.000 0.000 0.000 x1

***

Record 11
Density functional theory data (meta-GGA SCAN) for a PBEsol-optimized structure of Sr3ScH.

Calculated values
Magnetization: 1.51 Bohr magnetons per cell
Calculated total energy: -84.19 eV/cell

Cell: 5.402 5.402 5.402 Å, 90.00 90.00 90.00°
Space group Pm-3m (No. 221)
Inequivalent atoms, fractional coordinates:
Sr 0.000 0.000 0.500 x3
Sc 0.500 0.500 0.500 x1
H 0.000 0.000 0.000 x1

***

Record 12
Density functional theory data (meta-GGA SCAN) for a PBEsol-optimized structure of Sc3TaH.

Calculated values
Magnetization: 0.00 Bohr magnetons per cell
Calculated total energy: -112.85 eV/cell

Cell: 4.379 4.379 4.379 Å, 90.00 90.00 90.00°
Space group Pm-3m (No. 221)
Inequivalent atoms, fractional coordinates:
Sc 0.000 0.000 0.500 x3
Ta 0.500 0.500 0.500 x1
H 0.000 0.000 0.000 x1

***

Record 13
Density functional theory data (meta-GGA SCAN) for a PBEsol-optimized structure of ScTcH3.

Calculated values
Magnetization: 0.91 Bohr magnetons per cell
Calculated total energy: -61.49 eV/cell

Cell: 3.496 3.496 3.496 Å, 90.00 90.00 90.00°
Space group Pm-3m (No. 221)
Inequivalent atoms, fractional coordinates:
Sc 0.000 0.000 0.000 x1
Tc 0.500 0.500 0.500 x1
H 0.000 0.500 0.500 x3

***

Record 14
Density functional theory data (meta-GGA SCAN) for a PBEsol-optimized structure of ScTi2H.

Calculated values
Magnetization: 0.03 Bohr magnetons per cell
Calculated total energy: -182.00 eV/cell

Cell: 6.239 6.239 6.239 Å, 90.00 90.00 90.00°
Space group Fm-3m (No. 225)
Inequivalent atoms, fractional coordinates:
Sc 0.000 0.000 0.000 x4
Ti 0.250 0.250 0.250 x8
H 0.000 0.000 0.500 x4

***

Record 15
Density functional theory data (meta-GGA SCAN) for a PBEsol-optimized structure of ScTlHW2.

Calculated values
Magnetization: 0.00 Bohr magnetons per cell
Calculated total energy: -227.33 eV/cell

Cell: 3.974 3.974 4.705 Å, 90.00 90.00 90.00°
Space group P4/mmm (No. 123)
Inequivalent atoms, fractional coordinates:
Sc 0.000 0.000 0.000 x1
Tl 0.500 0.500 0.000 x1
H 0.500 0.500 0.500 x1
W 0.000 0.500 0.500 x2

***

Record 16
Density functional theory data (meta-GGA SCAN) for a PBEsol-optimized structure of Sc3HW.

Calculated values
Magnetization: 0.00 Bohr magnetons per cell
Calculated total energy: -115.50 eV/cell

Cell: 4.311 4.311 4.311 Å, 90.00 90.00 90.00°
Space group Pm-3m (No. 221)
Inequivalent atoms, fractional coordinates:
Sc 0.000 0.000 0.500 x3
H 0.000 0.000 0.000 x1
W 0.500 0.500 0.500 x1

***

Record 17
Density functional theory data (meta-GGA SCAN) for a PBEsol-optimized structure of YScH2.

Calculated values
Magnetization: 10.65 Bohr magnetons per cell
Calculated total energy: -192.75 eV/cell

Cell: 5.948 5.948 5.948 Å, 90.00 90.00 90.00°
Space group Fm-3m (No. 225)
Inequivalent atoms, fractional coordinates:
Y 0.000 0.000 0.000 x4
Sc 0.000 0.000 0.500 x4
H 0.250 0.250 0.250 x8

***

Record 18
Density functional theory data (meta-GGA SCAN) for a PBEsol-optimized structure of YSc2H2.

Calculated values
Magnetization: 0.23 Bohr magnetons per cell
Calculated total energy: -130.38 eV/cell

Cell: 3.255 3.255 15.525 Å, 90.00 90.00 90.00°
Space group I4/mmm (No. 139)
Inequivalent atoms, fractional coordinates:
Y 0.000 0.000 0.000 x2
Sc 0.000 0.000 0.326 x4
H 0.000 0.500 0.250 x4

***

Record 19
Density functional theory data (meta-GGA SCAN) for a PBEsol-optimized structure of YSc3H.

Calculated values
Magnetization: 0.00 Bohr magnetons per cell
Calculated total energy: -74.53 eV/cell

Cell: 4.609 4.609 4.609 Å, 90.00 90.00 90.00°
Space group Pm-3m (No. 221)
Inequivalent atoms, fractional coordinates:
Y 0.000 0.000 0.000 x1
Sc 0.000 0.500 0.500 x3
H 0.500 0.500 0.500 x1

***

Record 20
Density functional theory data (meta-GGA SCAN) for a PBEsol-optimized structure of ZrSc2ZnH.

Calculated values
Magnetization: 0.00 Bohr magnetons per cell
Calculated total energy: -69.19 eV/cell

Cell: 5.114 5.114 5.003 Å, 90.00 90.00 90.00°
Space group P4/mmm (No. 123)
Inequivalent atoms, fractional coordinates:
Zr 0.000 0.000 0.000 x1
Sc 0.000 0.500 0.000 x2
Zn 0.000 0.000 0.500 x1
H 0.500 0.500 0.500 x1

***

Record 21
Density functional theory data (meta-GGA SCAN) for a PBEsol-optimized structure of Zr2ScZnH.

Calculated values
Magnetization: 0.00 Bohr magnetons per cell
Calculated total energy: -89.71 eV/cell

Cell: 5.409 5.409 3.180 Å, 90.00 90.00 90.00°
Space group P4/mmm (No. 123)
Inequivalent atoms, fractional coordinates:
Zr 0.000 0.500 0.000 x2
Sc 0.000 0.000 0.500 x1
Zn 0.500 0.500 0.000 x1
H 0.500 0.500 0.500 x1

***

Record 22
Density functional theory data (meta-GGA SCAN) for a PBEsol-optimized structure of Zr2ScH.

Calculated values
Magnetization: 0.00 Bohr magnetons per cell
Calculated total energy: -316.39 eV/cell

Cell: 6.876 6.876 5.866 Å, 90.00 90.00 90.00°
Space group I-42d (No. 122)
Inequivalent atoms, fractional coordinates:
Zr 0.152 0.750 0.125 x8
Sc 0.000 0.000 0.500 x4
H 0.000 0.000 0.000 x4

***

Record 23
Density functional theory data (meta-GGA SCAN) for a PBEsol-optimized structure of ZrSc3H.

Calculated values
Magnetization: 0.12 Bohr magnetons per cell
Calculated total energy: -77.55 eV/cell

Cell: 4.480 4.480 4.480 Å, 90.00 90.00 90.00°
Space group Pm-3m (No. 221)
Inequivalent atoms, fractional coordinates:
Zr 0.000 0.000 0.000 x1
Sc 0.000 0.500 0.500 x3
H 0.500 0.500 0.500 x1

***

Record 24
Density functional theory data (meta-GGA SCAN) for a PBEsol-optimized structure of HSe.

Calculated values
Magnetization: 0.00 Bohr magnetons per cell
Calculated total energy: -93.64 eV/cell

Cell: 7.167 5.470 5.254 Å, 90.00 123.76 90.00°
Space group C2 (No. 5)
Inequivalent atoms, fractional coordinates:
H 0.208 0.000 0.446 x4
Se 0.033 0.206 0.300 x4

***

Record 25
Density functional theory data (meta-GGA SCAN) for a PBEsol-optimized structure of SrSn2HSe.

Calculated values
Magnetization: 0.77 Bohr magnetons per cell
Calculated total energy: -115.70 eV/cell

Cell: 5.478 5.478 5.789 Å, 90.00 90.00 90.00°
Space group P4/mmm (No. 123)
Inequivalent atoms, fractional coordinates:
Sr 0.000 0.000 0.000 x1
Sn 0.000 0.500 0.500 x2
H 0.500 0.500 0.000 x1
Se 0.000 0.000 0.500 x1

***

Record 26
Density functional theory data (meta-GGA SCAN) for a PBEsol-optimized structure of SrH3Se.

Calculated values
Magnetization: 0.00 Bohr magnetons per cell
Calculated total energy: -51.85 eV/cell

Cell: 4.053 4.053 4.053 Å, 90.00 90.00 90.00°
Space group Pm-3m (No. 221)
Inequivalent atoms, fractional coordinates:
Sr 0.000 0.000 0.000 x1
H 0.000 0.500 0.500 x3
Se 0.500 0.500 0.500 x1

***

Record 27
Density functional theory data (meta-GGA SCAN) for a PBEsol-optimized structure of TeH2Se.

Calculated values
Magnetization: 0.00 Bohr magnetons per cell
Calculated total energy: -501.62 eV/cell

Cell: 7.936 7.936 7.936 Å, 90.00 90.00 90.00°
Space group Fd-3m (No. 227, origin choice 2)
Inequivalent atoms, fractional coordinates:
Te 0.125 0.125 0.125 x8
H 0.000 0.000 0.500 x16
Se 0.125 0.125 0.625 x8

***

Record 28
Density functional theory data (meta-GGA SCAN) for a PBEsol-optimized structure of Ti3HSe.

Calculated values
Magnetization: 0.00 Bohr magnetons per cell
Calculated total energy: -73.95 eV/cell

Cell: 3.952 3.952 3.952 Å, 90.00 90.00 90.00°
Space group Pm-3m (No. 221)
Inequivalent atoms, fractional coordinates:
Ti 0.000 0.000 0.500 x3
H 0.000 0.000 0.000 x1
Se 0.500 0.500 0.500 x1